Record 1
Density functional theory data (PBE) for crystalline LaPm2Y6 at its relaxed geometry.

Values from the calculation:
- distance to the lowest polymorph of the same formula (meV per atom) = 0
- energy of formation (eV/atom) = 0.0188
- DOS at the Fermi energy (states/eV/f.u.) = 14.01
- calculated volume (Å³/atom) = 33.27

Unit cell a=3.6109 b=8.8581 c=13.0268 alpha=132.98 beta=82.03 gamma=90.07
Fractional coordinates of all 9 atoms:
La (0.0000, 0.0000, 0.0000)
Y (0.2216, 0.8896, 0.5553)
Pm (0.5553, 0.2228, 0.8879)
Y (0.3318, 0.3375, 0.3373)
Pm (0.4447, 0.7772, 0.1121)
Y (0.6682, 0.6625, 0.6627)
Y (0.1130, 0.4403, 0.7745)
Y (0.7784, 0.1104, 0.4447)
Y (0.8870, 0.5597, 0.2255)



Record 2
Density functional theory data (PBE) for crystalline La5Pm5Y at its relaxed geometry.

Values from the calculation:
- distance to the lowest polymorph of the same formula (meV per atom) = 0
- energy of formation (eV/atom) = 0.1306
- DOS at the Fermi energy (states/eV/f.u.) = 17.14
- calculated volume (Å³/atom) = 36.25

Unit cell a=7.0760 b=8.6388 c=9.7075 alpha=45.31 beta=87.97 gamma=101.89
Fractional coordinates of all 11 atoms:
Pm (0.8113, 0.9531, 0.3595)
Pm (0.1495, 0.5120, 0.1327)
La (0.3413, 0.0904, 0.2630)
Pm (0.1887, 0.0469, 0.6405)
La (0.6587, 0.9096, 0.7370)
La (0.3721, 0.5255, 0.7254)
Y (0.0000, 0.0000, 0.0000)
La (0.6279, 0.4745, 0.2746)
Pm (0.8505, 0.4880, 0.8673)
Pm (0.5000, 0.0000, 0.0000)
La (0.0000, 0.5000, 0.5000)



Record 3
Density functional theory data (PBE) for crystalline La3Pm3Y at its relaxed geometry.

Values from the calculation:
- distance to the lowest polymorph of the same formula (meV per atom) = 191
- energy of formation (eV/atom) = 0.2205
- DOS at the Fermi energy (states/eV/f.u.) = 10.94
- calculated volume (Å³/atom) = 36.02

Unit cell a=8.9706 b=8.9706 c=8.9706 alpha=59.46 beta=59.46 gamma=59.46
Fractional coordinates of all 14 atoms:
Pm (0.2765, 0.4311, 0.9342)
Y (0.6506, 0.6506, 0.6506)
La (0.6993, 0.1873, 0.9406)
Pm (0.9342, 0.2765, 0.4311)
Pm (0.5689, 0.0658, 0.7235)
La (0.8127, 0.0594, 0.3007)
La (0.9406, 0.6993, 0.1873)
Pm (0.4311, 0.9342, 0.2765)
La (0.3007, 0.8127, 0.0594)
La (0.1873, 0.9406, 0.6993)
Pm (0.7235, 0.5689, 0.0658)
La (0.0594, 0.3007, 0.8127)
Pm (0.0658, 0.7235, 0.5689)
Y (0.3494, 0.3494, 0.3494)



Record 4
Density functional theory data (PBE) for crystalline LaPm3Y12 at its relaxed geometry.

Values from the calculation:
- energy of formation (eV/atom) = 0.0240
- DOS at the Fermi energy (states/eV/f.u.) = 24.79
- calculated volume (Å³/atom) = 32.96

Unit cell a=5.0879 b=5.0879 c=20.3729 alpha=90.00 beta=90.00 gamma=90.00
Fractional coordinates of all 16 atoms:
Pm (0.0000, 0.0000, 0.7496)
Y (0.0000, 0.5000, 0.3754)
Y (0.5000, 0.0000, 0.8732)
Y (0.5000, 0.5000, 0.2512)
Pm (0.0000, 0.0000, 0.5000)
Y (0.0000, 0.5000, 0.8732)
Pm (0.0000, 0.0000, 0.2504)
Y (0.0000, 0.5000, 0.6246)
Y (0.5000, 0.0000, 0.6246)
Y (0.5000, 0.0000, 0.3754)
Y (0.0000, 0.5000, 0.1268)
Y (0.5000, 0.5000, 0.0000)
Y (0.5000, 0.0000, 0.1268)
Y (0.5000, 0.5000, 0.5000)
La (0.0000, 0.0000, 0.0000)
Y (0.5000, 0.5000, 0.7488)